1.
## Ho4In2Te (PBE)

Data for a geometry-optimized Ho4In2Te structure.

Computed properties:
- E_form (uncorrected) (kJ/mol of atoms) = -47.3
- E_tot (eV/cell) = -60.7
- N(E_F) (states/eV per cell) = 11.99
- SG = P2_1/m, No. 11

a = 6.040 Å, b = 6.451 Å, c = 10.382 Å
α = 90.00°, β = 100.67°, γ = 90.00°
Fractional positions:
Te1 0.055 0.750 0.160
In1 0.701 0.750 0.551
In2 0.501 0.750 0.992
Ho1 0.586 0.996 0.269
Ho2 0.960 0.750 0.851
Te2 0.945 0.250 0.840
Ho3 0.414 0.004 0.731
Ho4 0.414 0.496 0.731
Ho5 0.040 0.250 0.149
Ho6 0.854 0.250 0.550
In3 0.299 0.250 0.449
In4 0.499 0.250 0.008
Ho7 0.146 0.750 0.450
Ho8 0.586 0.504 0.269

---

2.
## Ho2InTe4 (PBE)

Data for a geometry-optimized Ho2InTe4 structure.

Computed properties:
- E_form (uncorrected) (kJ/mol of atoms) = -98.6
- E_tot (eV/cell) = -31.6
- N(E_F) (states/eV per cell) = 1.79
- SG = C2/m, No. 12

a = 4.336 Å, b = 7.703 Å, c = 8.715 Å
α = 118.69°, β = 104.40°, γ = 90.00°
Fractional positions:
Te1 0.878 0.211 0.755
Te2 0.639 0.296 0.279
Ho1 0.260 0.241 0.519
Ho2 0.740 0.759 0.481
In1 0.000 0.000 0.000
Te3 0.361 0.704 0.721
Te4 0.122 0.789 0.245

---

3.
## HoIn2Te4 (PBE)

Data for a geometry-optimized HoIn2Te4 structure.

Computed properties:
- E_form (uncorrected) (kJ/mol of atoms) = -42.9
- E_tot (eV/cell) = -25.7
- N(E_F) (states/eV per cell) = 4.17
- SG = I4/m, No. 87

a = 6.966 Å, b = 6.966 Å, c = 6.966 Å
α = 106.84°, β = 106.84°, γ = 114.87°
Fractional positions:
Te1 0.810 0.306 0.116
Te2 0.694 0.810 0.504
Te3 0.190 0.694 0.884
Ho1 0.500 0.500 0.000
In1 0.750 0.250 0.500
In2 0.250 0.750 0.500
Te4 0.306 0.190 0.496

---

4.
## HoIn2Te3 (PBE)

Data for a geometry-optimized HoIn2Te3 structure.

Computed properties:
- E_form (uncorrected) (kJ/mol of atoms) = -59.4
- E_tot (eV/cell) = -46.3
- N(E_F) (states/eV per cell) = 5.94
- SG = P2_1/m, No. 11

a = 4.375 Å, b = 9.367 Å, c = 11.110 Å
α = 68.90°, β = 90.00°, γ = 90.00°
Fractional positions:
Te1 0.250 0.324 0.137
Te2 0.750 0.545 0.313
In1 0.250 0.329 0.482
Ho1 0.250 0.825 0.656
In2 0.250 0.673 0.082
Te3 0.750 0.069 0.644
Te4 0.250 0.455 0.687
Ho2 0.750 0.175 0.344
Te5 0.750 0.676 0.863
In3 0.750 0.671 0.518
In4 0.750 0.327 0.918
Te6 0.250 0.931 0.356